[1]
Here is a geometry-optimized SrLa2Ru structure from Alexandria. Energies are from PBE-GGA.

Summary:
total magnetization = 0.00 μB per formula unit
energy of formation from the pure elements = 0.38 eV/atom
VASP energy = -19.3 eV per cell
energy relative to the lowest polymorph listed for this composition = 0.559 eV/atom

Cell lengths 5.403, 5.403, 5.403 Å; angles 60.00, 60.00, 60.00 degrees
Fractional positions:
La: 0.250 0.250 0.250
La: 0.000 0.000 0.000
Sr: 0.750 0.750 0.750
Ru: 0.500 0.500 0.500

***

[2]
Here is a geometry-optimized SrLa4Ru structure from Alexandria. Energies are from PBE-GGA.

Summary:
total magnetization = 0.04 μB per formula unit
energy of formation from the pure elements = 0.69 eV/atom
VASP energy = -26.5 eV per cell

Cell lengths 6.484, 6.484, 6.484 Å; angles 60.00, 60.00, 60.00 degrees
Fractional positions:
La: 0.378 0.865 0.378
La: 0.378 0.378 0.378
La: 0.865 0.378 0.378
La: 0.378 0.378 0.865
Ru: 0.750 0.750 0.750
Sr: 0.000 0.000 0.000

***

[3]
Here is a geometry-optimized Sr3LaRu structure from Alexandria. Energies are from PBE-GGA.

Summary:
total magnetization = 0.00 μB per formula unit
energy of formation from the pure elements = 0.40 eV/atom
VASP energy = -17.2 eV per cell
energy relative to the lowest polymorph listed for this composition = 0.000 eV/atom

Cell lengths 5.810, 5.810, 5.810 Å; angles 90.00, 90.00, 90.00 degrees
Fractional positions:
Sr: 0.000 0.000 0.500
Sr: 0.500 0.000 0.000
Sr: 0.000 0.500 0.000
La: 0.500 0.500 0.500
Ru: 0.000 0.000 0.000